# 1
Density functional theory data (PBE) for a relaxed structure of Dy2Zn5Ni3.

Geometry as CIF:
```
data_Dy2Zn5Ni3
_chemical_formula_sum 'Dy2 Zn5 Ni3'
_cell_length_a 3.8416
_cell_length_b 3.8416
_cell_length_c 11.3390
_cell_angle_alpha 90.00
_cell_angle_beta 90.00
_cell_angle_gamma 90.00
_symmetry_space_group_name_H-M 'P -4 m 2'
_symmetry_Int_Tables_number 115
_symmetry_space_group_name_Hall 'P -4 -2'
loop_
_atom_site_label
_atom_site_type_symbol
_atom_site_fract_x
_atom_site_fract_y
_atom_site_fract_z
Dy1 Dy 0.0000 0.5000 0.2217
Zn1 Zn 0.0000 0.0000 0.5000
Zn2 Zn 0.0000 0.5000 0.6544
Zn3 Zn 0.5000 0.5000 0.0000
Zn4 Zn 0.5000 0.5000 0.5000
Ni1 Ni 0.0000 0.0000 0.0000
Ni2 Ni 0.0000 0.5000 0.8658
```

Computed properties:
VASP energy = -3.61 eV/atom


# 2
Density functional theory data (PBE) for a relaxed structure of Ba2LiRh3F12.

Geometry as CIF:
```
data_Ba2LiRh3F12
_chemical_formula_sum 'Ba6 Li3 Rh9 F36'
_cell_length_a 7.5653
_cell_length_b 7.5653
_cell_length_c 17.3326
_cell_angle_alpha 90.00
_cell_angle_beta 90.00
_cell_angle_gamma 120.00
_symmetry_space_group_name_H-M 'R -3 m'
_symmetry_Int_Tables_number 166
_symmetry_space_group_name_Hall '-R 3 2"'
loop_
_atom_site_label
_atom_site_type_symbol
_atom_site_fract_x
_atom_site_fract_y
_atom_site_fract_z
Ba1 Ba 0.0000 0.0000 0.1653
Li1 Li 0.0000 0.0000 0.5000
Rh1 Rh 0.0000 0.5000 0.0000
F1 F 0.0533 0.5267 0.1142
F2 F 0.0551 0.5276 0.3725
```

Computed properties:
ΔE_f (raw) = -2.2243 eV/atom


# 3
Density functional theory data (PBE) for a relaxed structure of CuIrS2.

Geometry as CIF:
```
data_CuIrS2
_chemical_formula_sum 'Cu4 Ir4 S8'
_cell_length_a 5.2947
_cell_length_b 3.5046
_cell_length_c 15.0814
_cell_angle_alpha 90.00
_cell_angle_beta 90.00
_cell_angle_gamma 90.00
_symmetry_space_group_name_H-M 'P n m a'
_symmetry_Int_Tables_number 62
_symmetry_space_group_name_Hall '-P 2ac 2n'
loop_
_atom_site_label
_atom_site_type_symbol
_atom_site_fract_x
_atom_site_fract_y
_atom_site_fract_z
Cu1 Cu 0.1339 0.2500 0.1779
Ir1 Ir 0.0131 0.2500 0.6022
S1 S 0.2041 0.2500 0.3266
S2 S 0.2425 0.7500 0.5335
```

Computed properties:
ΔE_f (raw) = -0.1127 eV/atom


# 4
Density functional theory data (PBE) for a relaxed structure of Y3ZrCl.

Geometry as CIF:
```
data_Y3ZrCl
_chemical_formula_sum 'Y3 Zr1 Cl1'
_cell_length_a 5.1943
_cell_length_b 5.1943
_cell_length_c 5.1943
_cell_angle_alpha 90.00
_cell_angle_beta 90.00
_cell_angle_gamma 90.00
_symmetry_space_group_name_H-M 'P m -3 m'
_symmetry_Int_Tables_number 221
_symmetry_space_group_name_Hall '-P 4 2 3'
loop_
_atom_site_label
_atom_site_type_symbol
_atom_site_fract_x
_atom_site_fract_y
_atom_site_fract_z
Y1 Y 0.0000 0.0000 0.5000
Zr1 Zr 0.5000 0.5000 0.5000
Cl1 Cl 0.0000 0.0000 0.0000
```

Computed properties:
Relative energy among the computed polymorphs = 0.0 meV/atom
ΔE_f (raw) = -0.2957 eV/atom


# 5
Density functional theory data (PBE) for a relaxed structure of DyY14Ho.

Geometry as CIF:
```
data_DyY14Ho
_chemical_formula_sum 'Dy1 Y14 Ho1'
_cell_length_a 7.1370
_cell_length_b 7.1370
_cell_length_c 10.0636
_cell_angle_alpha 90.00
_cell_angle_beta 90.00
_cell_angle_gamma 90.00
_symmetry_space_group_name_H-M 'P 4/m m m'
_symmetry_Int_Tables_number 123
_symmetry_space_group_name_Hall '-P 4 2'
loop_
_atom_site_label
_atom_site_type_symbol
_atom_site_fract_x
_atom_site_fract_y
_atom_site_fract_z
Dy1 Dy 0.0000 0.0000 0.0000
Y1 Y 0.0000 0.0000 0.5000
Y2 Y 0.0000 0.5000 0.0000
Y3 Y 0.0000 0.5000 0.5000
Y4 Y 0.2501 0.2501 0.2491
Y5 Y 0.5000 0.5000 0.5000
Ho1 Ho 0.5000 0.5000 0.0000
```

Computed properties:
VASP energy = -6.21 eV/atom


# 6
Density functional theory data (PBE) for a relaxed structure of Cs3LiPb2Br9.

Geometry as CIF:
```
data_Cs3LiPb2Br9
_chemical_formula_sum 'Cs3 Li1 Pb2 Br9'
_cell_length_a 8.1358
_cell_length_b 8.1358
_cell_length_c 10.0129
_cell_angle_alpha 90.00
_cell_angle_beta 90.00
_cell_angle_gamma 120.00
_symmetry_space_group_name_H-M 'P -3 m 1'
_symmetry_Int_Tables_number 164
_symmetry_space_group_name_Hall '-P 3 2"'
loop_
_atom_site_label
_atom_site_type_symbol
_atom_site_fract_x
_atom_site_fract_y
_atom_site_fract_z
Cs1 Cs 0.0000 0.0000 0.0000
Cs2 Cs 0.3333 0.6667 0.6581
Li1 Li 0.0000 0.0000 0.5000
Pb1 Pb 0.3333 0.6667 0.1831
Br1 Br 0.0000 0.5000 0.0000
Br2 Br 0.1624 0.3247 0.3420
```

Computed properties:
ΔE_f (raw) = -1.2846 eV/atom


# 7
Density functional theory data (PBE) for a relaxed structure of Sb2PdS2.

Geometry as CIF:
```
data_Sb2PdS2
_chemical_formula_sum 'Sb4 Pd2 S4'
_cell_length_a 5.5014
_cell_length_b 5.5014
_cell_length_c 7.6022
_cell_angle_alpha 90.00
_cell_angle_beta 90.00
_cell_angle_gamma 90.00
_symmetry_space_group_name_H-M 'I 4/m m m'
_symmetry_Int_Tables_number 139
_symmetry_space_group_name_Hall '-I 4 2'
loop_
_atom_site_label
_atom_site_type_symbol
_atom_site_fract_x
_atom_site_fract_y
_atom_site_fract_z
Sb1 Sb 0.0000 0.5000 0.2500
Pd1 Pd 0.0000 0.0000 0.0000
S1 S 0.0000 0.0000 0.3042
```

Computed properties:
Relative energy among the computed polymorphs = 0.0 meV/atom
ΔE_f (raw) = -0.0362 eV/atom


# 8
Density functional theory data (PBE) for a relaxed structure of Sm6ErTm3.

Geometry as CIF:
```
data_Sm6ErTm3
_chemical_formula_sum 'Sm36 Er6 Tm18'
_cell_length_a 16.8978
_cell_length_b 16.8978
_cell_length_c 8.0839
_cell_angle_alpha 90.00
_cell_angle_beta 90.00
_cell_angle_gamma 120.00
_symmetry_space_group_name_H-M 'R -3 c'
_symmetry_Int_Tables_number 167
_symmetry_space_group_name_Hall '-R 3 2"c'
loop_
_atom_site_label
_atom_site_type_symbol
_atom_site_fract_x
_atom_site_fract_y
_atom_site_fract_z
Sm1 Sm 0.0822 0.2184 0.0665
Er1 Er 0.0000 0.0000 0.2500
Tm1 Tm 0.0000 0.2880 0.7500
```

Computed properties:
Relative energy among the computed polymorphs = 62.0 meV/atom


# 9
Density functional theory data (PBE) for a relaxed structure of Tl2SiBi2.

Geometry as CIF:
```
data_Tl2SiBi2
_chemical_formula_sum 'Tl4 Si2 Bi4'
_cell_length_a 7.5514
_cell_length_b 7.5514
_cell_length_c 5.7056
_cell_angle_alpha 90.00
_cell_angle_beta 90.00
_cell_angle_gamma 90.00
_symmetry_space_group_name_H-M 'P 4/m b m'
_symmetry_Int_Tables_number 127
_symmetry_space_group_name_Hall '-P 4 2ab'
loop_
_atom_site_label
_atom_site_type_symbol
_atom_site_fract_x
_atom_site_fract_y
_atom_site_fract_z
Tl1 Tl 0.1734 0.3266 0.0000
Si1 Si 0.0000 0.0000 0.5000
Bi1 Bi 0.1464 0.6464 0.5000
```

Computed properties:
ΔE_f (raw) = 0.2611 eV/atom


# 10
Density functional theory data (PBE) for a relaxed structure of CsNaBeS2.

Geometry as CIF:
```
data_CsNaBeS2
_chemical_formula_sum 'Cs4 Na4 Be4 S8'
_cell_length_a 7.1659
_cell_length_b 14.3492
_cell_length_c 5.7695
_cell_angle_alpha 90.00
_cell_angle_beta 90.00
_cell_angle_gamma 90.00
_symmetry_space_group_name_H-M 'C m m e'
_symmetry_Int_Tables_number 67
_symmetry_space_group_name_Hall '-C 2a 2'
loop_
_atom_site_label
_atom_site_type_symbol
_atom_site_fract_x
_atom_site_fract_y
_atom_site_fract_z
Cs1 Cs 0.0000 0.2500 0.2462
Na1 Na 0.2500 0.0000 0.0000
Be1 Be 0.0000 0.0000 0.5000
S1 S 0.0000 0.0972 0.7211
```

Computed properties:
ΔE_f (raw) = -1.0054 eV/atom


# 11
Density functional theory data (PBE) for a relaxed structure of Pm8PtRh3Cl4.

Geometry as CIF:
```
data_Pm8PtRh3Cl4
_chemical_formula_sum 'Pm16 Pt2 Rh6 Cl8'
_cell_length_a 14.1749
_cell_length_b 8.1870
_cell_length_c 8.8623
_cell_angle_alpha 90.00
_cell_angle_beta 122.29
_cell_angle_gamma 90.00
_symmetry_space_group_name_H-M 'C 1 2/m 1'
_symmetry_Int_Tables_number 12
_symmetry_space_group_name_Hall '-C 2y'
loop_
_atom_site_label
_atom_site_type_symbol
_atom_site_fract_x
_atom_site_fract_y
_atom_site_fract_z
Pm1 Pm 0.0161 0.2463 0.2952
Pm2 Pm 0.2354 0.0000 0.7056
Pm3 Pm 0.2376 0.5000 0.7048
Pt1 Pt 0.0000 0.5000 0.5000
Rh1 Rh 0.0000 0.0000 0.5000
Rh2 Rh 0.2500 0.2500 0.5000
Cl1 Cl 0.0000 0.0000 0.0000
Cl2 Cl 0.0000 0.5000 0.0000
Cl3 Cl 0.2500 0.2500 0.0000
```

Computed properties:
ΔE_f (raw) = -1.2234 eV/atom


# 12
Density functional theory data (PBE) for a relaxed structure of K3CN3.

Geometry as CIF:
```
data_K3CN3
_chemical_formula_sum 'K9 C3 N9'
_cell_length_a 7.0067
_cell_length_b 7.0067
_cell_length_c 10.9972
_cell_angle_alpha 90.00
_cell_angle_beta 90.00
_cell_angle_gamma 120.00
_symmetry_space_group_name_H-M 'R 3 m'
_symmetry_Int_Tables_number 160
_symmetry_space_group_name_Hall 'R 3 -2"'
loop_
_atom_site_label
_atom_site_type_symbol
_atom_site_fract_x
_atom_site_fract_y
_atom_site_fract_z
K1 K 0.1683 0.3366 0.0000
C1 C 0.0000 0.0000 0.5460
N1 N 0.1105 0.2209 0.5422
```

Computed properties:
Relative energy among the computed polymorphs = 92.9 meV/atom
ΔE_f (raw) = 0.1889 eV/atom


Repeat the sixth record exactly.
Density functional theory data (PBE) for a relaxed structure of Cs3LiPb2Br9.

Geometry as CIF:
```
data_Cs3LiPb2Br9
_chemical_formula_sum 'Cs3 Li1 Pb2 Br9'
_cell_length_a 8.1358
_cell_length_b 8.1358
_cell_length_c 10.0129
_cell_angle_alpha 90.00
_cell_angle_beta 90.00
_cell_angle_gamma 120.00
_symmetry_space_group_name_H-M 'P -3 m 1'
_symmetry_Int_Tables_number 164
_symmetry_space_group_name_Hall '-P 3 2"'
loop_
_atom_site_label
_atom_site_type_symbol
_atom_site_fract_x
_atom_site_fract_y
_atom_site_fract_z
Cs1 Cs 0.0000 0.0000 0.0000
Cs2 Cs 0.3333 0.6667 0.6581
Li1 Li 0.0000 0.0000 0.5000
Pb1 Pb 0.3333 0.6667 0.1831
Br1 Br 0.0000 0.5000 0.0000
Br2 Br 0.1624 0.3247 0.3420
```

Computed properties:
ΔE_f (raw) = -1.2846 eV/atom


Which formula does entry 4 have?
Y3ZrCl